(1)
Density functional theory data (GGA-PBE) for a geometry-optimized Cu2Ag3F6 structure.

Computed properties:
Volume   17.1 Å³/atom
Density   4.97 g cm⁻³
Total moment   0.096 μB per atom
Energy relative to the lowest polymorph listed for this composition   65 kJ/mol of formula units
Formation energy without anion corrections   -1.05 eV per atom

a = 6.2833 Å, b = 6.2833 Å, c = 5.5171 Å
α = 90.00°, β = 90.00°, γ = 120.00°
Space group P-3 (No. 147)
One atom of each set of equivalent atoms:
Cu: 0.3333 0.6667 0.2226 x2
Ag: 0.0000 0.0000 0.0000 x1
Ag: 0.3333 0.6667 0.7172 x2
F: 0.0391 0.6870 0.2273 x6

***

(2)
Density functional theory data (GGA-PBE) for a geometry-optimized Cu2Ag2F5 structure.

Computed properties:
Volume   13.9 Å³/atom
Density   5.80 g cm⁻³
Total moment   0.108 μB per atom
Formation energy without anion corrections   -1.17 eV per atom

a = 7.7229 Å, b = 16.4893 Å, c = 5.4028 Å
α = 90.00°, β = 133.25°, γ = 90.00°
Space group Cm (No. 8)
One atom of each set of equivalent atoms:
Cu: 0.0000 0.0000 0.0000 x2
Cu: 0.0240 0.2498 0.0945 x4
Cu: 0.0577 0.5000 0.2591 x2
Ag: 0.0011 0.1243 0.5353 x4
Ag: 0.4475 0.0908 0.5973 x4
F: 0.0306 0.1169 0.0345 x4
F: 0.0602 0.3866 0.2572 x4
F: 0.1593 0.0000 0.8190 x2
F: 0.2605 0.5000 0.0458 x2
F: 0.2714 0.2756 0.0895 x4
F: 0.2819 0.2187 0.5986 x4

***

(3)
Density functional theory data (GGA-PBE) for a geometry-optimized CuAg2F3 structure.

Computed properties:
Volume   15.7 Å³/atom
Density   5.92 g cm⁻³
Total moment   0.013 μB per atom
Energy relative to the lowest polymorph listed for this composition   0 kJ/mol of formula units
Formation energy without anion corrections   -0.98 eV per atom

a = 9.7431 Å, b = 7.1728 Å, c = 5.3946 Å
α = 90.00°, β = 90.00°, γ = 90.00°
Space group Cmc2_1 (No. 36)
One atom of each set of equivalent atoms:
Cu: 0.0000 0.1842 0.0000 x4
Ag: 0.1431 0.3049 0.4077 x8
F: 0.0000 0.0563 0.6410 x4
F: 0.1491 0.3679 0.8754 x8

***

(4)
Density functional theory data (GGA-PBE) for a geometry-optimized CuAg8F6 structure.

Computed properties:
Volume   15.2 Å³/atom
Density   7.57 g cm⁻³
Total moment   0.038 μB per atom
Formation energy without anion corrections   -0.78 eV per atom

a = 5.6722 Å, b = 5.6722 Å, c = 24.5797 Å
α = 90.00°, β = 90.00°, γ = 120.00°
Space group R-3 (No. 148, hexagonal axes)
One atom of each set of equivalent atoms:
Cu: 0.0000 0.0000 0.0000 x3
Ag: 0.0000 0.0000 0.3088 x6
Ag: 0.0159 0.3122 0.2093 x18
F: 0.0088 0.4244 0.7173 x18

***

(5)
Density functional theory data (GGA-PBE) for a geometry-optimized CuAg3F4 structure.

Computed properties:
Volume   14.6 Å³/atom
Density   6.57 g cm⁻³
Total moment   0.045 μB per atom
Energy relative to the lowest polymorph listed for this composition   17 kJ/mol of formula units
Formation energy without anion corrections   -0.96 eV per atom

a = 6.2130 Å, b = 6.2130 Å, c = 6.0670 Å
α = 90.00°, β = 90.00°, γ = 90.00°
Space group I-42m (No. 121)
One atom of each set of equivalent atoms:
Cu: 0.0000 0.0000 0.0000 x2
Ag: 0.0000 0.0000 0.5000 x2
Ag: 0.0000 0.5000 0.2500 x4
F: 0.2265 0.2265 0.9514 x8

***

(6)
Density functional theory data (GGA-PBE) for a geometry-optimized Cu5Ag3F12 structure.

Computed properties:
Volume   14.2 Å³/atom
Density   5.10 g cm⁻³
Total moment   0.202 μB per atom
Formation energy without anion corrections   -1.29 eV per atom

a = 13.1328 Å, b = 13.1328 Å, c = 13.1328 Å
α = 90.00°, β = 90.00°, γ = 90.00°
Space group Ia-3d (No. 230)
One atom of each set of equivalent atoms:
Cu: 0.0000 0.0000 0.0000 x16
Cu: 0.0000 0.2500 0.3750 x24
Ag: 0.0000 0.2500 0.1250 x24
F: 0.0285 0.0460 0.6451 x96

***

(7)
Density functional theory data (GGA-PBE) for a geometry-optimized Cu3AgF9 structure.

Computed properties:
Volume   12.6 Å³/atom
Density   4.77 g cm⁻³
Total moment   0.148 μB per atom
Formation energy without anion corrections   -1.38 eV per atom

a = 5.3679 Å, b = 7.5296 Å, c = 8.1128 Å
α = 90.00°, β = 94.50°, γ = 90.00°
Space group P2_1/m (No. 11)
One atom of each set of equivalent atoms:
Cu: 0.0000 0.0000 0.0000 x2
Cu: 0.4663 0.0035 0.6894 x4
Ag: 0.0333 0.2500 0.4255 x2
F: 0.0864 0.2500 0.9869 x2
F: 0.1637 0.5533 0.7977 x4
F: 0.2699 0.5490 0.4734 x4
F: 0.3093 0.5490 0.1251 x4
F: 0.3449 0.2500 0.6599 x2
F: 0.4221 0.2500 0.3071 x2

***

(8)
Density functional theory data (GGA-PBE) for a geometry-optimized CuAgF structure.

Computed properties:
Volume   13.7 Å³/atom
Density   7.70 g cm⁻³
Total moment   0.000 μB per atom
Energy relative to the lowest polymorph listed for this composition   67 kJ/mol of formula units
Formation energy without anion corrections   -0.41 eV per atom

a = 4.0145 Å, b = 4.0145 Å, c = 2.9411 Å
α = 90.00°, β = 90.00°, γ = 120.00°
Space group P-6m2 (No. 187)
One atom of each set of equivalent atoms:
Cu: 0.0000 0.0000 0.0000 x1
Ag: 0.3333 0.6667 0.5000 x1
F: 0.6667 0.3333 0.0000 x1

***

(9)
Density functional theory data (GGA-PBE) for a geometry-optimized CuAg2F3 structure.

Computed properties:
Volume   14.2 Å³/atom
Density   6.55 g cm⁻³
Total moment   0.059 μB per atom
Energy relative to the lowest polymorph listed for this composition   7 kJ/mol of formula units
Formation energy without anion corrections   -0.97 eV per atom

a = 8.3259 Å, b = 3.0450 Å, c = 13.4447 Å
α = 90.00°, β = 90.00°, γ = 90.00°
Space group Pnma (No. 62)
One atom of each set of equivalent atoms:
Cu: 0.1182 0.2500 0.0723 x4
Ag: 0.0924 0.2500 0.7173 x4
Ag: 0.1423 0.2500 0.3998 x4
F: 0.0750 0.2500 0.9202 x4
F: 0.1465 0.7500 0.5448 x4
F: 0.1613 0.2500 0.2183 x4

***

(10)
Density functional theory data (GGA-PBE) for a geometry-optimized Cu4AgF7 structure.

Computed properties:
Volume   13.1 Å³/atom
Density   5.23 g cm⁻³
Total moment   0.169 μB per atom
Formation energy without anion corrections   -1.26 eV per atom

a = 3.9188 Å, b = 16.0907 Å, c = 4.9828 Å
α = 90.00°, β = 90.00°, γ = 90.00°
Space group Imm2 (No. 44)
One atom of each set of equivalent atoms:
Cu: 0.0000 0.0784 0.0000 x4
Cu: 0.0000 0.2548 0.6481 x4
Ag: 0.0000 0.5000 0.1475 x2
F: 0.0000 0.0000 0.2955 x2
F: 0.0000 0.1329 0.6632 x4
F: 0.0000 0.2421 0.1452 x4
F: 0.0000 0.3757 0.6173 x4

***

(11)
Density functional theory data (GGA-PBE) for a geometry-optimized CuAg3F structure.

Computed properties:
Volume   18.9 Å³/atom
Density   7.14 g cm⁻³
Total moment   0.000 μB per atom
Energy relative to the lowest polymorph listed for this composition   0 kJ/mol of formula units
Formation energy without anion corrections   0.17 eV per atom

a = 4.5540 Å, b = 4.5540 Å, c = 4.5540 Å
α = 90.00°, β = 90.00°, γ = 90.00°
Space group Pm-3m (No. 221)
One atom of each set of equivalent atoms:
Cu: 0.0000 0.0000 0.0000 x1
Ag: 0.0000 0.5000 0.5000 x3
F: 0.5000 0.5000 0.5000 x1

***

(12)
Density functional theory data (GGA-PBE) for a geometry-optimized Cu3Ag2F10 structure.

Computed properties:
Volume   12.7 Å³/atom
Density   5.21 g cm⁻³
Total moment   0.162 μB per atom
Formation energy without anion corrections   -1.32 eV per atom

a = 17.9865 Å, b = 5.9538 Å, c = 7.6527 Å
α = 90.00°, β = 111.82°, γ = 90.00°
Space group C2/m (No. 12)
One atom of each set of equivalent atoms:
Cu: 0.0000 0.2463 0.0000 x4
Cu: 0.0780 0.5000 0.4765 x4
Cu: 0.1838 0.5000 0.0233 x4
Ag: 0.1123 0.0000 0.7191 x4
Ag: 0.2182 0.0000 0.3794 x4
F: 0.0000 0.2789 0.5000 x4
F: 0.0085 0.0000 0.1805 x4
F: 0.0192 0.5000 0.1849 x4
F: 0.1132 0.2514 0.0469 x8
F: 0.1321 0.5000 0.7594 x4
F: 0.1502 0.2714 0.4723 x8
F: 0.2445 0.5000 0.2802 x4
F: 0.2500 0.2500 0.0000 x4